Entry 1:
## KScSiS4 (PBE)

Data for crystalline KScSiS4 at its relaxed geometry.

Computed properties:
- Size of the total moment: 0.000 μB/atom
- E_tot: -0.404 Ry per atom
- D(E_F): 0.00 states/eV per atom
- Formation energy (no corrections): -1306 meV/atom

Lattice parameters (Å, degrees): 6.1935 6.6123 8.6476 90.00 107.86 90.00
Space group P2_1/m (No. 11)
Inequivalent atoms, fractional coordinates:
K  0.2428  0.2500  0.4421
Sc  0.2808  0.2500  0.9525
Si  0.2645  0.7500  0.1597
S  0.0436  0.7500  0.9206
S  0.0645  0.7500  0.3174
S  0.4997  0.0027  0.8030

=====

Entry 2:
## ZrInAg2 (PBE)

Data for crystalline ZrInAg2 at its relaxed geometry.

Computed properties:
- Size of the total moment: 0.000 μB/atom
- E_tot: -0.311 Ry per atom
- D(E_F): 0.79 states/eV per atom
- ΔH_f (0 K): 0.015 eV/atom

Lattice parameters (Å, degrees): 9.6707 3.1105 5.5474 90.00 100.86 90.00
Space group Cm (No. 8)
Inequivalent atoms, fractional coordinates:
Zr  0.0000  0.0000  0.0000
In  0.2432  0.0000  0.7091
Ag  0.2525  0.5000  0.2357
Ag  0.4974  0.0000  0.4850

=====

Entry 3:
## LiTbCd (PBE)

Data for crystalline LiTbCd at its relaxed geometry.

Computed properties:
- Size of the total moment: 0.000 μB/atom
- E_tot: -0.187 Ry per atom
- D(E_F): 0.90 states/eV per atom
- ΔH_f (0 K): -0.062 eV/atom

Lattice parameters (Å, degrees): 3.4379 3.4379 24.6755 90.00 90.00 90.00
Space group I4/mmm (No. 139)
Inequivalent atoms, fractional coordinates:
Li  0.0000  0.0000  0.2181
Tb  0.0000  0.0000  0.0712
Cd  0.0000  0.0000  0.3444

=====

Entry 4:
## AcAg (PBE)

Data for crystalline AcAg at its relaxed geometry.

Computed properties:
- Size of the total moment: 0.000 μB/atom
- E_tot: -0.275 Ry per atom
- D(E_F): 0.68 states/eV per atom
- ΔH_f (0 K): -0.263 eV/atom

Lattice parameters (Å, degrees): 3.9616 3.9616 3.9616 90.00 90.00 90.00
Space group Pm-3m (No. 221)
Inequivalent atoms, fractional coordinates:
Ac  0.0000  0.0000  0.0000
Ag  0.5000  0.5000  0.5000

=====

Entry 5:
## SbSeI3 (PBE)

Data for crystalline SbSeI3 at its relaxed geometry.

Computed properties:
- Size of the total moment: 0.404 μB/atom
- E_tot: -0.156 Ry per atom
- D(E_F): 0.56 states/eV per atom
- Formation energy (no corrections): 325 meV/atom

Lattice parameters (Å, degrees): 6.0092 6.0092 6.0092 90.00 90.00 90.00
Space group Pm-3m (No. 221)
Inequivalent atoms, fractional coordinates:
Sb  0.0000  0.0000  0.0000
Se  0.5000  0.5000  0.5000
I  0.0000  0.0000  0.5000

=====

Entry 6:
## YCoTc2 (PBE)

Data for crystalline YCoTc2 at its relaxed geometry.

Computed properties:
- Size of the total moment: 0.492 μB/atom
- E_tot: -0.616 Ry per atom
- D(E_F): 0.63 states/eV per atom
- ΔH_f (0 K): 0.189 eV/atom

Lattice parameters (Å, degrees): 6.3819 6.3819 6.3819 90.00 90.00 90.00
Space group F-43m (No. 216)
Inequivalent atoms, fractional coordinates:
Y  0.0000  0.0000  0.0000
Co  0.2500  0.2500  0.2500
Tc  0.0000  0.0000  0.5000
Tc  0.2500  0.2500  0.7500

=====

Entry 7:
## Ni7GeAs2 (PBE)

Data for crystalline Ni7GeAs2 at its relaxed geometry.

Computed properties:
- Size of the total moment: 0.000 μB/atom
- E_tot: -0.417 Ry per atom
- D(E_F): 0.61 states/eV per atom
- ΔH_f (0 K): -0.237 eV/atom

Lattice parameters (Å, degrees): 3.6591 3.6591 19.0314 90.00 90.00 90.00
Space group I4/mmm (No. 139)
Inequivalent atoms, fractional coordinates:
Ni  0.0000  0.0000  0.0000
Ni  0.0000  0.5000  0.0915
Ni  0.0000  0.5000  0.2500
Ge  0.0000  0.0000  0.5000
As  0.0000  0.0000  0.1699

=====

Entry 8:
## Ac4OsAuCl2 (PBE)

Data for crystalline Ac4OsAuCl2 at its relaxed geometry.

Computed properties:
- Size of the total moment: 0.000 μB/atom
- E_tot: -0.394 Ry per atom
- D(E_F): 0.47 states/eV per atom
- Formation energy (no corrections): -1038 meV/atom

Lattice parameters (Å, degrees): 7.7154 4.4227 8.3512 90.00 108.25 90.00
Space group P2/m (No. 10)
Inequivalent atoms, fractional coordinates:
Ac  0.2227  0.0000  0.2051
Ac  0.2419  0.5000  0.7927
Os  0.0000  0.5000  0.0000
Au  0.5000  0.0000  0.0000
Cl  0.0000  0.0000  0.5000
Cl  0.5000  0.5000  0.5000